First-principles (PBE) data for crystalline Tb2Sc at its relaxed geometry, as listed in Alexandria.

a b c (Å): 6.390 6.390 6.390
angles (deg): 60.00 60.00 60.00
Positions (direct):
Tb1 0.000 0.000 0.000
Tb2 0.000 0.000 0.500
Tb3 0.000 0.500 0.000
Tb4 0.500 0.000 0.000
Sc1 0.375 0.375 0.375
Sc2 0.625 0.625 0.625

## Properties
- SG: Fd-3m, No. 227
- Energy of formation: 0.3449 eV per atom

First-principles (PBE) data for crystalline Ni3Sb at its relaxed geometry, as listed in Alexandria.

a b c (Å): 3.731 3.731 3.731
angles (deg): 90.00 90.00 90.00
Positions (direct):
Ni1 0.000 0.000 0.500
Ni2 0.000 0.500 0.000
Ni3 0.500 0.000 0.000
Sb1 0.500 0.500 0.500

## Properties
- VASP energy: -22.028 eV for the cell shown
- SG: Pm-3m, No. 221